# 1
# SmYAgSb

SmYAgSb after structural relaxation (PBE-GGA, the Alexandria database).

The energy is -5.114 eV per atom. The calculation puts the uncorrected formation energy at -0.57 eV per atom.

The structure belongs to space group F-43m (No. 216); the cell edges are 7.4646, 7.4646 and 7.4646 Å and the angles 90.00°, 90.00° and 90.00°. Symmetry generates all atoms from Sm at (0.0000, 0.0000, 0.0000), Y at (0.0000, 0.0000, 0.5000), Ag at (0.2500, 0.2500, 0.7500) and Sb at (0.2500, 0.2500, 0.2500).


# 2
# SmYMgCd

SmYMgCd after structural relaxation (PBE-GGA, the Alexandria database).

The energy is -3.642 eV per atom. Its energy relative to the elements is -5.05 kcal/mol of atoms.

The structure belongs to space group F-43m (No. 216); the cell edges are 7.6038, 7.6038 and 7.6038 Å and the angles 90.00°, 90.00° and 90.00°. Symmetry generates all atoms from Sm at (0.0000, 0.0000, 0.0000), Y at (0.0000, 0.0000, 0.5000), Mg at (0.2500, 0.2500, 0.7500) and Cd at (0.2500, 0.2500, 0.2500).


- Which of these has the highest energy?
  SmYMgCd


- Number 1 is which compound?
  SmYAgSb